(1)
Density functional theory data (PBE) for a relaxed AuSe2S2 crystal.

The structure belongs to space group P4/mbm (No. 127); the cell edges are 6.698, 6.698 and 5.039 Å and the angles 90.00°, 90.00° and 90.00°. The inequivalent atoms are Au at (0.000, 0.000, 0.000), Se at (0.128, 0.372, 0.500) and S at (0.165, 0.335, 0.000).

The raw total energy is -0.1266 Ha/atom. Its relative energy among the computed polymorphs is 64 meV/atom.

(2)
Density functional theory data (PBE) for a relaxed YZr2SbH crystal.

The structure belongs to space group P4/mmm (No. 123); the cell edges are 4.441, 4.441 and 4.876 Å and the angles 90.00°, 90.00° and 90.00°. The inequivalent atoms are Y at (0.000, 0.000, 0.000), Zr at (0.000, 0.500, 0.500), Sb at (0.500, 0.500, 0.000) and H at (0.000, 0.000, 0.500).

The raw total energy is -0.2460 Ha/atom.

(3)
Density functional theory data (PBE) for a relaxed GaCoHg2Sb crystal.

The structure belongs to space group P4/mmm (No. 123); the cell edges are 5.102, 5.102 and 4.719 Å and the angles 90.00°, 90.00° and 90.00°. The inequivalent atoms are Ga at (0.000, 0.000, 0.000), Co at (0.500, 0.500, 0.500), Hg at (0.000, 0.500, 0.500) and Sb at (0.500, 0.500, 0.000).

The raw total energy is -0.1006 Ha/atom.

(4)
Density functional theory data (PBE) for a relaxed Rb2ThSeO6 crystal.

The structure belongs to space group Fm-3m (No. 225); the cell edges are 8.358, 8.358 and 8.358 Å and the angles 90.00°, 90.00° and 90.00°. The inequivalent atoms are Rb at (0.250, 0.250, 0.250), Th at (0.000, 0.000, 0.000), Se at (0.000, 0.000, 0.500) and O at (0.000, 0.000, 0.277).

The raw total energy is -0.2242 Ha/atom.

(5)
Density functional theory data (PBE) for a relaxed V5Ni8Ir crystal.

The structure belongs to space group I-4 (No. 82); the cell edges are 6.972, 6.972 and 7.250 Å and the angles 90.00°, 90.00° and 90.00°. The inequivalent atoms are V at (0.000, 0.000, 0.000), V at (0.163, 0.797, 0.592), Ni at (0.063, 0.660, 0.894), Ni at (0.108, 0.854, 0.271) and Ir at (0.000, 0.500, 0.250).

The raw total energy is -0.2609 Ha/atom.

(6)
Density functional theory data (PBE) for a relaxed AuS3O crystal.

The structure belongs to space group Pm-3m (No. 221); the cell edges are 4.289, 4.289 and 4.289 Å and the angles 90.00°, 90.00° and 90.00°. The inequivalent atoms are Au at (0.000, 0.000, 0.000), S at (0.000, 0.500, 0.500) and O at (0.500, 0.500, 0.500).

The raw total energy is -0.1133 Ha/atom. Its relative energy among the computed polymorphs is 0 meV/atom.

(7)
Density functional theory data (PBE) for a relaxed MgHgSbI2 crystal.

The structure belongs to space group P4/mmm (No. 123); the cell edges are 5.728, 5.728 and 5.759 Å and the angles 90.00°, 90.00° and 90.00°. The inequivalent atoms are Mg at (0.000, 0.000, 0.000), Hg at (0.500, 0.500, 0.500), Sb at (0.000, 0.000, 0.500) and I at (0.000, 0.500, 0.000).

The raw total energy is -0.0676 Ha/atom. Its relative energy among the computed polymorphs is 0 meV/atom.

(8)
Density functional theory data (PBE) for a relaxed KCo2Ru crystal.

The structure belongs to space group P2/m (No. 10); the cell edges are 2.669, 3.623 and 7.478 Å and the angles 90.00°, 90.17° and 90.00°. The inequivalent atoms are K at (0.000, 0.000, 0.000), Co at (0.499, 0.500, 0.344) and Ru at (0.000, 0.000, 0.500).

The raw total energy is -0.2005 Ha/atom. Its relative energy among the computed polymorphs is 0 meV/atom.

(9)
Density functional theory data (PBE) for a relaxed ZnHgTe2 crystal.

The structure belongs to space group R-3m (No. 166, hexagonal axes); the cell edges are 4.4079, 4.4079 and 24.4842 Å and the angles 90.00°, 90.00° and 120.00°. The inequivalent atoms are Zn at (0.0000, 0.0000, 0.0000), Hg at (0.0000, 0.0000, 0.5000) and Te at (0.0000, 0.0000, 0.3896).

The raw total energy is -0.0749 Ha/atom.

(10)
Density functional theory data (PBE) for a relaxed YEr3Sc2Te6 crystal.

The structure belongs to space group C2/m (No. 12); the cell edges are 18.651, 4.271 and 8.575 Å and the angles 90.00°, 103.16° and 90.00°. The inequivalent atoms are Y at (0.000, 0.000, 0.000), Er at (0.000, 0.000, 0.500), Er at (0.161, 0.500, 0.830), Sc at (0.165, 0.500, 0.331), Te at (0.005, 0.500, 0.255), Te at (0.170, 0.000, 0.092) and Te at (0.170, 0.000, 0.577).

The raw total energy is -0.2019 Ha/atom.

(11)
Density functional theory data (PBE) for a relaxed Pm3AlB2N6 crystal.

The structure belongs to space group P-3m1 (No. 164); the cell edges are 5.3540, 5.3540 and 6.0853 Å and the angles 90.00°, 90.00° and 120.00°. The inequivalent atoms are Pm at (0.0000, 0.0000, 0.0000), Pm at (0.3333, 0.6667, 0.6670), Al at (0.0000, 0.0000, 0.5000), B at (0.3333, 0.6667, 0.2653) and N at (0.1769, 0.3537, 0.2939).

The raw total energy is -0.2906 Ha/atom.

(12)
Density functional theory data (PBE) for a relaxed CdRe2Ag crystal.

The structure belongs to space group Pmmm (No. 47); the cell edges are 3.138, 4.379 and 4.869 Å and the angles 90.00°, 90.00° and 90.00°. The inequivalent atoms are Cd at (0.000, 0.000, 0.000), Re at (0.000, 0.500, 0.500), Re at (0.500, 0.000, 0.500) and Ag at (0.500, 0.500, 0.000).

The raw total energy is -0.2382 Ha/atom.

(13)
Density functional theory data (PBE) for a relaxed RbGe2SbSe6 crystal.

The structure belongs to space group C2/c (No. 15); the cell edges are 14.914, 12.474 and 7.437 Å and the angles 90.00°, 117.55° and 90.00°. The inequivalent atoms are Rb at (0.000, 0.194, 0.250), Ge at (0.224, 0.090, 0.815), Sb at (0.000, 0.291, 0.750), Se at (0.096, 0.432, 0.056), Se at (0.138, 0.032, 0.011) and Se at (0.180, 0.268, 0.702).

The raw total energy is -0.1426 Ha/atom.

(14)
Density functional theory data (PBE) for a relaxed UGa2Si crystal.

The structure belongs to space group R-3m (No. 166, hexagonal axes); the cell edges are 4.8248, 4.8248 and 11.4376 Å and the angles 90.00°, 90.00° and 120.00°. The inequivalent atoms are U at (0.0000, 0.0000, 0.0000), Ga at (0.0000, 0.0000, 0.2540) and Si at (0.0000, 0.0000, 0.5000).

The raw total energy is -0.2006 Ha/atom. Its relative energy among the computed polymorphs is 504 meV/atom.

(15)
Density functional theory data (PBE) for a relaxed LiLaSmLu crystal.

The structure belongs to space group F-43m (No. 216); the cell edges are 7.876, 7.876 and 7.876 Å and the angles 90.00°, 90.00° and 90.00°. The inequivalent atoms are Li at (0.000, 0.000, 0.000), La at (0.250, 0.250, 0.750), Sm at (0.250, 0.250, 0.250) and Lu at (0.000, 0.000, 0.500).

The raw total energy is -0.1427 Ha/atom.

(16)
Density functional theory data (PBE) for a relaxed Na2ZrSbTe4 crystal.

The structure belongs to space group P2/m (No. 10); the cell edges are 7.793, 4.267 and 7.827 Å and the angles 90.00°, 107.76° and 90.00°. The inequivalent atoms are Na at (0.000, 0.000, 0.000), Na at (0.500, 0.500, 0.000), Zr at (0.000, 0.500, 0.500), Sb at (0.500, 0.000, 0.500), Te at (0.233, 0.000, 0.719) and Te at (0.246, 0.500, 0.276).

The raw total energy is -0.1521 Ha/atom.

(17)
Density functional theory data (PBE) for a relaxed TiAs2SeBr crystal.

The structure belongs to space group P4/mmm (No. 123); the cell edges are 5.011, 5.011 and 4.806 Å and the angles 90.00°, 90.00° and 90.00°. The inequivalent atoms are Ti at (0.000, 0.000, 0.000), As at (0.000, 0.500, 0.000), Se at (0.000, 0.000, 0.500) and Br at (0.500, 0.500, 0.500).

The raw total energy is -0.1648 Ha/atom. Its relative energy among the computed polymorphs is 0 meV/atom.

(18)
Density functional theory data (PBE) for a relaxed MgBi2 crystal.

The structure belongs to space group Cmcm (No. 63); the cell edges are 11.905, 5.545 and 5.397 Å and the angles 90.00°, 90.00° and 90.00°. The inequivalent atoms are Mg at (0.000, 0.198, 0.250) and Bi at (0.135, 0.296, 0.750).

The raw total energy is -0.1156 Ha/atom.

(19)
Density functional theory data (PBE) for a relaxed TlSnBr2 crystal.

The structure belongs to space group R-3m (No. 166, hexagonal axes); the cell edges are 3.9687, 3.9687 and 31.7526 Å and the angles 90.00°, 90.00° and 120.00°. The inequivalent atoms are Tl at (0.0000, 0.0000, 0.0000), Sn at (0.0000, 0.0000, 0.5000) and Br at (0.0000, 0.0000, 0.1029).

The raw total energy is -0.1040 Ha/atom. Its relative energy among the computed polymorphs is 0 meV/atom.

(20)
Density functional theory data (PBE) for a relaxed HoNiSn crystal.

The structure belongs to space group Pnma (No. 62); the cell edges are 7.115, 4.454 and 7.679 Å and the angles 90.00°, 90.00° and 90.00°. The inequivalent atoms are Ho at (0.014, 0.250, 0.199), Ni at (0.204, 0.750, 0.412) and Sn at (0.186, 0.250, 0.585).

The raw total energy is -0.2007 Ha/atom.

no.,total magnetization (μB/atom)
1,0.00
2,0.00
3,0.00
4,0.00
5,0.00
6,0.00
7,0.20
8,0.70
9,0.00
10,0.00
11,0.00
12,0.00
13,0.00
14,0.71
15,0.00
16,0.11
17,0.00
18,0.00
19,0.00
20,0.00